[1]
First-principles (PBEsol) data for a relaxed structure of NaAuSe2, as listed in Alexandria via LeMat-Bulk.

Calculated values
- Total DFT energy (no corrections): -27.3 eV per cell
- Uncorrected formation energy: -0.154 eV/atom

Unit cell a=8.2071 b=8.2071 c=8.2071 alpha=140.48 beta=140.48 gamma=57.12
Positions (direct):
Na 0.0000 0.0000 0.0000
Na 0.7500 0.2500 0.5000
Au 0.2500 0.7500 0.5000
Au 0.5000 0.5000 0.0000
Se 0.1938 0.6250 0.0688
Se 0.3750 0.4438 0.5688
Se 0.5562 0.1250 0.9312
Se 0.8750 0.8062 0.4312



[2]
First-principles (PBEsol) data for a relaxed structure of HfGa3W, as listed in Alexandria via LeMat-Bulk.

Calculated values
- Total DFT energy (no corrections): -30.5 eV per cell
- Calculated formation energy: 0.764 eV per atom

Unit cell a=4.7265 b=4.7265 c=4.7265 alpha=90.00 beta=90.00 gamma=90.00
Positions (direct):
Hf 0.0000 0.0000 0.0000
Ga 0.0000 0.5000 0.5000
Ga 0.5000 0.0000 0.5000
Ga 0.5000 0.5000 0.0000
W 0.5000 0.5000 0.5000



[3]
First-principles (PBEsol) data for a relaxed structure of Hf2ZrTi, as listed in Alexandria via LeMat-Bulk.

Calculated values
- Total DFT energy (no corrections): -37.8 eV per cell
- Calculated formation energy: 0.154 eV per atom

Unit cell a=4.8516 b=4.8516 c=4.8516 alpha=60.00 beta=60.00 gamma=60.00
Positions (direct):
Hf 0.2500 0.2500 0.2500
Hf 0.7500 0.7500 0.7500
Zr 0.0000 0.0000 0.0000
Ti 0.5000 0.5000 0.5000